This record from the Alexandria database describes a relaxed Hg2W2O7 crystal. The functional is PBE+U.

Summary:
Distance to the lowest polymorph of the same formula (meV per atom): 1
Electronic total energy (eV/atom): -6.03
Density of states at the Fermi level (states/eV/atom): 0.000
Spin magnetization (μB per formula unit): 0.000
V (Å³/cell): 353.3
Space-group type: No. 13

a = 3.8659 Å, b = 6.3482 Å, c = 14.8575 Å
α = 75.71°, β = 90.00°, γ = 90.00°
Closest atoms and distances in Å follow each position.
Atoms (fractional coordinates):
O1 0.5531 0.1937 0.7978  2 W 1.90-1.99
O2 0.5531 0.8063 0.7022  2 W 1.90-1.99
O3 0.9405 0.5000 0.2500  2 W 1.94
O4 0.9453 0.2057 0.4290  1 W 1.77
O5 0.0557 0.1279 0.6691  1 W 1.98, 1 Hg 2.16
O6 0.4469 0.8063 0.2022  2 W 1.90-1.99
O7 0.4469 0.1937 0.2978  2 W 1.90-1.99
O8 0.9453 0.7943 0.0710  1 W 1.77
O9 0.0547 0.7943 0.5710  1 W 1.77
O10 0.9443 0.1279 0.1691  1 W 1.98, 1 Hg 2.16
O11 0.0595 0.5000 0.7500  2 W 1.94
O12 0.0557 0.8721 0.8309  1 W 1.98, 1 Hg 2.16
O13 0.0547 0.2057 0.9290  1 W 1.77
O14 0.9443 0.8721 0.3309  1 W 1.98, 1 Hg 2.16
W1 0.9581 0.8074 0.1886  3 O 1.77-1.94
W2 0.9581 0.1926 0.3114  3 O 1.77-1.94
W3 0.0419 0.8074 0.6886  3 O 1.77-1.94
W4 0.0419 0.1926 0.8114  3 O 1.77-1.94
Hg1 0.6624 0.6521 0.4408  1 O 2.16
Hg2 0.6624 0.3479 0.0592  1 O 2.16
Hg3 0.3376 0.3479 0.5592  1 O 2.16
Hg4 0.3376 0.6521 0.9408  1 O 2.16